Computed, not measured: VCdAg2F8 after structural relaxation at the GGA+U level of DFT.

Properties
**Total energy**: -4.42 eV per atom

a b c (Å): 5.235 6.924 5.397
angles (deg): 90.00 91.56 90.00
Fractional coordinates of all 12 atoms:
V1 0.000 0.000 0.000
Cd1 0.000 0.500 0.000
Ag1 0.500 0.244 0.500
Ag2 0.500 0.756 0.500
F1 0.167 0.204 0.826
F2 0.167 0.796 0.826
F3 0.259 0.000 0.238
F4 0.294 0.500 0.280
F5 0.706 0.500 0.720
F6 0.741 0.000 0.762
F7 0.833 0.204 0.174
F8 0.833 0.796 0.174